(1)
DFT (GGA-PBE) results for AgN after structural relaxation.

## Properties
Space group: No. 59
Polymorph energy (0 for the lowest one) in kcal/mol of atoms: 30.21
E_form (uncorrected) in meV per atom: 1568

abc: 4.0422 3.8300 10.8087
angles: 90.00 90.00 90.00
Atoms (fractional coordinates):
Ag: 0.0000 0.7619 0.8357
Ag: 0.5000 0.2381 0.6643
Ag: 0.5000 0.2381 0.3357
Ag: 0.0000 0.7619 0.1643
Ag: 0.0000 0.7073 0.5000
Ag: 0.5000 0.2927 0.0000
N: 0.0000 0.0433 0.6677
N: 0.5000 0.9567 0.8323
N: 0.5000 0.9567 0.1677
N: 0.0000 0.0433 0.3323
N: 0.0000 0.4647 0.0000
N: 0.5000 0.5353 0.5000

(2)
DFT (GGA-PBE) results for Ba2CdIn4Hg3 after structural relaxation.

## Properties
Space group: No. 115
ΔE_f in eV/atom: -0.3630

abc: 4.9733 4.9733 12.1323
angles: 90.00 90.00 90.00
Atoms (fractional coordinates):
Ba: 0.5000 0.0000 0.2527
Ba: 0.0000 0.5000 0.7473
Cd: 0.5000 0.5000 0.5000
In: 0.5000 0.5000 0.0000
In: 0.0000 0.0000 0.0000
In: 0.5000 0.0000 0.6299
In: 0.0000 0.5000 0.3701
Hg: 0.0000 0.0000 0.5000
Hg: 0.5000 0.0000 0.8640
Hg: 0.0000 0.5000 0.1360

(3)
DFT (GGA-PBE) results for RbAc2F8 after structural relaxation.

## Properties
Space group: No. 71
E_form (uncorrected) in meV per atom: -3521

abc: 4.0428 6.9873 7.5802
angles: 117.44 105.47 90.00
Each line ends with the local moment (μB).
Atoms (fractional coordinates):
Ac: 0.2027 0.7027 0.4053  0.00
Ac: 0.7973 0.2973 0.5947  0.00
Rb: 0.5000 0.0000 0.0000  0.00
F: 0.6666 0.8831 0.3333  0.01
F: 0.3333 0.5498 0.6667  0.01
F: 0.1665 0.1665 0.3331  0.06
F: 0.0000 0.3586 0.0000  0.44
F: 0.8335 0.8335 0.6669  0.06
F: 0.6667 0.4502 0.3333  0.01
F: 0.3334 0.1169 0.6667  0.01
F: 0.0000 0.6414 0.0000  0.44

(4)
DFT (GGA-PBE) results for Sm4SbSe2S after structural relaxation.

## Properties
Space group: No. 74
E_form (uncorrected) in meV per atom: -1686

abc: 8.4400 8.4400 8.4029
angles: 119.85 119.85 90.06
Atoms (fractional coordinates):
Sm: 0.2393 0.7294 0.9843
Sm: 0.7706 0.2607 0.5157
Sm: 0.2294 0.7393 0.4843
Sm: 0.7607 0.2706 0.0157
Sm: 0.7587 0.7412 0.0106
Sm: 0.7588 0.7413 0.4894
Sm: 0.2412 0.2588 0.5106
Sm: 0.2412 0.2588 0.9894
Sb: 0.5000 0.5000 0.5000
Sb: 0.0000 0.0000 0.0000
Se: 0.5000 0.0000 0.0000
Se: 0.5000 0.0000 0.5000
Se: 0.0000 0.0000 0.5000
Se: 0.5000 0.5000 0.0000
S: 0.0000 0.5000 0.0000
S: 0.0000 0.5000 0.5000

(5)
DFT (GGA-PBE) results for U2TcP after structural relaxation.

## Properties
Space group: No. 166
Polymorph energy (0 for the lowest one) in kcal/mol of atoms: 5.22
ΔE_f in eV/atom: -0.2451

abc: 3.7155 3.7155 7.2046
angles: 75.06 75.06 60.00
Atoms (fractional coordinates):
P: 0.5000 0.5000 0.5000
U: 0.7490 0.7490 0.7531
U: 0.2510 0.2510 0.2469
Tc: 0.0000 0.0000 0.0000

(6)
DFT (GGA-PBE) results for Mg2ZrGa6 after structural relaxation.

## Properties
Space group: No. 38
ΔE_f in eV/atom: -0.1205

abc: 4.0306 6.6556 6.6556
angles: 94.36 90.00 90.00
Atoms (fractional coordinates):
Mg: 0.0000 0.6501 0.2646
Mg: 0.0000 0.2646 0.6501
Zr: 0.5000 0.9693 0.9693
Ga: 0.5000 0.5542 0.5542
Ga: 0.5000 0.5095 0.9670
Ga: 0.5000 0.9670 0.5095
Ga: 0.0000 0.7474 0.7474
Ga: 0.0000 0.2916 0.0462
Ga: 0.0000 0.0462 0.2916

(7)
DFT (GGA-PBE) results for CaCoSi after structural relaxation.

## Properties
Space group: No. 216
E_form (uncorrected) in meV per atom: 82

abc: 4.2845 4.2845 4.2845
angles: 60.00 60.00 60.00
Atoms (fractional coordinates):
Ca: 0.5000 0.5000 0.5000
Co: 0.7500 0.7500 0.7500
Si: 0.0000 0.0000 0.0000

(8)
DFT (GGA-PBE) results for Nd3ZnAu after structural relaxation.

## Properties
Space group: No. 15
Polymorph energy (0 for the lowest one) in kcal/mol of atoms: 2.38
ΔE_f in eV/atom: -0.3075

abc: 7.2121 9.5100 9.5100
angles: 67.76 100.51 100.51
Atoms (fractional coordinates):
Nd: 0.4883 0.2661 0.8899
Nd: 0.0117 0.1101 0.7339
Nd: 0.5117 0.7339 0.1101
Nd: 0.9883 0.8899 0.2661
Nd: 0.9549 0.7001 0.9589
Nd: 0.5451 0.0411 0.2999
Nd: 0.0451 0.2999 0.0411
Nd: 0.4549 0.9589 0.7001
Nd: 0.4275 0.3601 0.3908
Nd: 0.0725 0.6092 0.6399
Nd: 0.5725 0.6399 0.6092
Nd: 0.9275 0.3908 0.3601
Zn: 0.6335 0.4297 0.1015
Zn: 0.8665 0.8985 0.5703
Zn: 0.3665 0.5703 0.8985
Zn: 0.1335 0.1015 0.4297
Au: 0.2500 0.9717 0.0283
Au: 0.7500 0.0283 0.9717
Au: 0.2500 0.6503 0.3497
Au: 0.7500 0.3497 0.6503

(9)
DFT (GGA-PBE) results for YEr4Zn4 after structural relaxation.

## Properties
Space group: No. 86
ΔE_f in eV/atom: -0.0680

abc: 5.8352 9.0079 9.0079
angles: 90.00 90.00 90.00
Atoms (fractional coordinates):
Y: 0.0000 0.0000 0.0000
Y: 0.5000 0.5000 0.5000
Er: 0.3890 0.3215 0.9096
Er: 0.8890 0.5904 0.8215
Er: 0.3890 0.6785 0.0904
Er: 0.1110 0.1785 0.5904
Er: 0.6110 0.9096 0.6785
Er: 0.1110 0.8215 0.4096
Er: 0.8890 0.4096 0.1785
Er: 0.6110 0.0904 0.3215
Zn: 0.6208 0.7731 0.3640
Zn: 0.6208 0.2269 0.6360
Zn: 0.1208 0.8640 0.7269
Zn: 0.8792 0.2731 0.8640
Zn: 0.8792 0.7269 0.1360
Zn: 0.3792 0.3640 0.2269
Zn: 0.3792 0.6360 0.7731
Zn: 0.1208 0.1360 0.2731

(10)
DFT (GGA-PBE) results for GaCoI4 after structural relaxation.

## Properties
Space group: No. 131
E_form (uncorrected) in meV per atom: -28

abc: 7.8641 7.8641 9.8907
angles: 90.00 90.00 90.00
Each line ends with the local moment (μB).
Atoms (fractional coordinates):
Ga: 0.0000 0.5000 0.0000  0.03
Ga: 0.5000 0.0000 0.5000  0.03
Co: 0.0000 0.0000 0.5000  1.64
Co: 0.0000 0.0000 0.0000  1.64
I: 0.7673 0.2352 0.5000  0.02
I: 0.7648 0.2327 0.0000  0.02
I: 0.7673 0.7648 0.5000  0.02
I: 0.2352 0.7673 0.0000  0.02
I: 0.2327 0.7648 0.5000  0.02
I: 0.2352 0.2327 0.0000  0.02
I: 0.7648 0.7673 0.0000  0.02
I: 0.2327 0.2352 0.5000  0.02

(11)
DFT (GGA-PBE) results for Ba3Li2Sm2Tl4 after structural relaxation.

## Properties
Space group: No. 164
ΔE_f in eV/atom: -0.1506

abc: 5.4347 5.4347 15.3610
angles: 90.00 90.00 120.00
Atoms (fractional coordinates):
Ba: 0.0000 0.0000 0.7407
Ba: 0.0000 0.0000 0.0000
Ba: 0.0000 0.0000 0.2593
Li: 0.6667 0.3333 0.8498
Li: 0.3333 0.6667 0.1502
Sm: 0.6667 0.3333 0.4297
Sm: 0.3333 0.6667 0.5703
Tl: 0.6667 0.3333 0.1401
Tl: 0.3333 0.6667 0.8599
Tl: 0.6667 0.3333 0.6324
Tl: 0.3333 0.6667 0.3676

(12)
DFT (GGA-PBE) results for ReRu3 after structural relaxation.

## Properties
Space group: No. 194
Polymorph energy (0 for the lowest one) in kcal/mol of atoms: 1.95
ΔE_f in eV/atom: -0.0020

abc: 5.4660 8.7459 5.4660
angles: 90.00 60.00 90.00
Atoms (fractional coordinates):
Re: 0.0000 0.0000 0.0000
Re: 0.0000 0.5000 0.0000
Re: 0.6667 0.2500 0.6667
Re: 0.3333 0.7500 0.3333
Ru: 0.5000 0.0000 0.5000
Ru: 0.5000 0.5000 0.5000
Ru: 0.3313 0.7500 0.8344
Ru: 0.8344 0.7500 0.3313
Ru: 0.1656 0.2500 0.1656
Ru: 0.0000 0.0000 0.5000
Ru: 0.0000 0.5000 0.5000
Ru: 0.5000 0.0000 0.0000
Ru: 0.5000 0.5000 0.0000
Ru: 0.8344 0.7500 0.8344
Ru: 0.1656 0.2500 0.6687
Ru: 0.6687 0.2500 0.1656

Number 1: total energy -48.24 eV for the cell shown, V 167.3 Å³ per cell. Number 2: total energy -20.25 eV for the cell shown, V 300.1 Å³ per cell. Number 3: total energy -62.88 eV for the cell shown, V 181.2 Å³ per cell. Number 4: total energy -95.17 eV for the cell shown, V 424.9 Å³ per cell. Number 5: total energy -39.33 eV for the cell shown, V 82.2 Å³ per cell. Number 6: total energy -30.98 eV for the cell shown, V 178.0 Å³ per cell. Number 7: total energy -14.28 eV for the cell shown, V 55.6 Å³ per cell. Number 8: total energy -81.57 eV for the cell shown, V 589.0 Å³ per cell. Number 9: total energy -60.85 eV for the cell shown, V 473.5 Å³ per cell. Number 10: total energy -33.00 eV for the cell shown, V 611.7 Å³ per cell. Number 11: total energy -30.16 eV for the cell shown, V 392.9 Å³ per cell. Number 12: total energy -161.13 eV for the cell shown, V 226.3 Å³ per cell.